No. 1
Compound: Ba3C4
Source: Alexandria via LeMat-Bulk
Functional: GGA-PBE
Structure: relaxed

- DOS at the Fermi energy: 2.772 states/eV/f.u.
- Space group: Pm-3m (221)

Cell: 5.9832 5.9832 5.9832 Å, 90.00 90.00 90.00°
Closest atoms and distances in Å follow each position.
Fractional positions:
Ba  0.0000  0.5000  0.0000  6 C 2.99
Ba  0.0000  0.0000  0.5000  6 C 2.99
Ba  0.5000  0.0000  0.0000  6 C 2.99
C  0.0000  0.0000  0.0000  6 Ba 2.99
C  0.0000  0.5000  0.5000  4 Ba 2.99
C  0.5000  0.0000  0.5000  4 Ba 2.99
C  0.5000  0.5000  0.0000  4 Ba 2.99

---

No. 2
Compound: HfGe2Ru4
Source: Alexandria via LeMat-Bulk
Functional: GGA-PBE
Structure: relaxed

- DOS at the Fermi energy: 7.632 states/eV/f.u.
- Space group: R-3m (166)

Cell: 4.3013 4.3013 7.3482 Å, 72.98 72.98 60.00°
Closest atoms and distances in Å follow each position.
Fractional positions:
Ru  0.8697  0.8697  0.3908  4 Ge 2.46-2.66, 1 Hf 2.70
Ru  0.1303  0.1303  0.6092  4 Ge 2.46-2.66, 1 Hf 2.70
Ru  0.6214  0.6214  0.1357  4 Ge 2.61-2.69, 3 Hf 2.65
Ru  0.3786  0.3786  0.8643  4 Ge 2.61-2.69, 3 Hf 2.65
Ge  0.7511  0.7511  0.7468  8 Ru 2.46-2.69
Ge  0.2489  0.2489  0.2532  8 Ru 2.46-2.69
Hf  0.0000  0.0000  0.0000  8 Ru 2.65-2.70

---

No. 3
Compound: V3GeIr
Source: Alexandria via LeMat-Bulk
Functional: GGA-PBE
Structure: relaxed

- DOS at the Fermi energy: 6.899 states/eV/f.u.
- Space group: Pm-3m (221)

Cell: 4.6127 4.6127 4.6127 Å, 90.00 90.00 90.00°
Closest atoms and distances in Å follow each position.
Fractional positions:
Ge  0.5000  0.5000  0.5000  12 V 3.26
Ir  0.0000  0.0000  0.0000  6 V 2.31
V  0.0000  0.5000  0.0000  2 Ir 2.31
V  0.0000  0.0000  0.5000  2 Ir 2.31
V  0.5000  0.0000  0.0000  2 Ir 2.31

---

No. 4
Compound: ZrAg3C
Source: Alexandria via LeMat-Bulk
Functional: GGA-PBE
Structure: relaxed

- DOS at the Fermi energy: 4.198 states/eV/f.u.
- Space group: Pm-3m (221)

Cell: 5.3973 5.3973 5.3973 Å, 90.00 90.00 90.00°
Closest atoms and distances in Å follow each position.
Fractional positions:
C  0.5000  0.5000  0.5000  12 Ag 3.82
Zr  0.0000  0.0000  0.0000  6 Ag 2.70
Ag  0.0000  0.5000  0.0000  2 Zr 2.70
Ag  0.0000  0.0000  0.5000  2 Zr 2.70
Ag  0.5000  0.0000  0.0000  2 Zr 2.70

---

Number 1: E_form 2.146 eV per atom, M_tot 10.0 μB/f.u.. Number 2: E_form -0.211 eV per atom, M_tot 0.0 μB/f.u.. Number 3: E_form 0.911 eV per atom, M_tot 2.5 μB/f.u.. Number 4: E_form 2.537 eV per atom, M_tot 2.7 μB/f.u..